w.
Compound: Tb2PmHo2
Source: Alexandria via LeMat-Bulk
Functional: PBE
Structure: optimized geometry

The calculation puts the density of states at the Fermi level at 67.4 states/eV per cell.

It has space group Fddd (No. 70, origin choice 2), with a = 5.539 Å, b = 11.610 Å, c = 22.636 Å, α = 90.00°, β = 90.00° and γ = 90.00°. The distinct sites, in fractional coordinates, are Tb at (0.125, 0.293, 0.125), Pm at (0.125, 0.125, 0.625) and Ho at (0.000, 0.000, 0.500).

***

x.
Compound: Tb2PmHo2
Source: Alexandria via LeMat-Bulk
Functional: PBE
Structure: optimized geometry

The calculation puts the density of states at the Fermi level at 9.8 states/eV per cell.

It has space group P4/mbm (No. 127), with a = 9.352 Å, b = 9.352 Å, c = 3.730 Å, α = 90.00°, β = 90.00° and γ = 90.00°. The distinct sites, in fractional coordinates, are Tb at (0.126, 0.374, 0.000), Pm at (0.000, 0.000, 0.000) and Ho at (0.171, 0.671, 0.500).

***

Of them, x has the highest stability.

***

w.
Compound: Tb2PmHo8
Source: Alexandria via LeMat-Bulk
Functional: PBE
Structure: optimized geometry

The calculation puts the density of states at the Fermi level at 36.6 states/eV per cell.

It has space group C2/m (No. 12), with a = 19.008 Å, b = 6.923 Å, c = 5.520 Å, α = 90.00°, β = 92.91° and γ = 90.00°. The distinct sites, in fractional coordinates, are Tb at (0.216, 0.000, 0.251), Pm at (0.000, 0.500, 0.000), Ho at (0.047, 0.000, 0.237), Ho at (0.132, 0.234, 0.732) and Ho at (0.188, 0.500, 0.233).

***

x.
Compound: Tb2PmHo8
Source: Alexandria via LeMat-Bulk
Functional: PBE
Structure: optimized geometry

The calculation puts the density of states at the Fermi level at 30.4 states/eV per cell.

It has space group Immm (No. 71), with a = 5.482 Å, b = 8.074 Å, c = 15.929 Å, α = 90.00°, β = 90.00° and γ = 90.00°. The distinct sites, in fractional coordinates, are Tb at (0.000, 0.000, 0.200), Pm at (0.000, 0.000, 0.500), Ho at (0.000, 0.206, 0.000), Ho at (0.000, 0.293, 0.361) and Ho at (0.000, 0.500, 0.163).

***

Of them, x has the highest stability.

***

w.
Compound: Tb2Pm2Ho5
Source: Alexandria via LeMat-Bulk
Functional: PBE
Structure: optimized geometry

The calculation puts the density of states at the Fermi level at 11.7 states/eV per cell.

It has space group P-1 (No. 2), with a = 3.597 Å, b = 8.843 Å, c = 9.486 Å, α = 103.30°, β = 100.92° and γ = 90.00°. The distinct sites, in fractional coordinates, are Tb at (0.167, 0.000, 0.333), Pm at (0.091, 0.335, 0.185), Ho at (0.241, 0.667, 0.481), Ho at (0.424, 0.332, 0.850) and Ho at (0.500, 0.000, 0.000).

***

x.
Compound: Tb2Pm2Ho5
Source: Alexandria via LeMat-Bulk
Functional: PBE
Structure: optimized geometry

The calculation puts the density of states at the Fermi level at 59.1 states/eV per cell.

It has space group Ima2 (No. 46), with a = 14.904 Å, b = 11.757 Å, c = 6.726 Å, α = 90.00°, β = 90.00° and γ = 90.00°. The distinct sites, in fractional coordinates, are Tb at (0.000, 0.000, 0.000), Tb at (0.250, 0.012, 0.094), Pm at (0.127, 0.503, 0.044), Ho at (0.053, 0.746, 0.693), Ho at (0.143, 0.236, 0.873) and Ho at (0.250, 0.747, 0.893).

***

Of them, w has the highest stability.

***

w.
Compound: TbPm4Ho4
Source: Alexandria via LeMat-Bulk
Functional: PBE
Structure: optimized geometry

The calculation puts the density of states at the Fermi level at 30.0 states/eV per cell.

It has space group C2/m (No. 12), with a = 16.861 Å, b = 5.599 Å, c = 6.820 Å, α = 90.00°, β = 113.16° and γ = 90.00°. The distinct sites, in fractional coordinates, are Tb at (0.000, 0.000, 0.000), Pm at (0.133, 0.500, 0.960), Pm at (0.219, 0.000, 0.287), Ho at (0.072, 0.500, 0.377) and Ho at (0.126, 0.000, 0.678).

***

x.
Compound: TbPm4Ho4
Source: Alexandria via LeMat-Bulk
Functional: PBE
Structure: optimized geometry

The calculation puts the density of states at the Fermi level at 26.6 states/eV per cell.

It has space group I4/mmm (No. 139), with a = 10.760 Å, b = 10.760 Å, c = 5.060 Å, α = 90.00°, β = 90.00° and γ = 90.00°. The distinct sites, in fractional coordinates, are Tb at (0.000, 0.000, 0.000), Pm at (0.000, 0.331, 0.000) and Ho at (0.166, 0.166, 0.500).

***

Of them, x has the highest stability.

***

w.
Compound: Tb2Pm3Ho
Source: Alexandria via LeMat-Bulk
Functional: PBE
Structure: optimized geometry

The calculation puts the density of states at the Fermi level at 14.8 states/eV per cell.

It has space group P-1 (No. 2), with a = 7.248 Å, b = 7.251 Å, c = 8.958 Å, α = 78.19°, β = 78.18° and γ = 60.12°. The distinct sites, in fractional coordinates, are Tb at (0.137, 0.139, 0.169), Tb at (0.138, 0.639, 0.167), Pm at (0.249, 0.250, 0.498), Pm at (0.361, 0.361, 0.832), Pm at (0.361, 0.861, 0.834) and Ho at (0.249, 0.751, 0.499).

***

x.
Compound: Tb2Pm3Ho
Source: Alexandria via LeMat-Bulk
Functional: PBE
Structure: optimized geometry

The calculation puts the density of states at the Fermi level at 28.2 states/eV per cell.

It has space group Cmcm (No. 63), with a = 10.839 Å, b = 6.256 Å, c = 11.629 Å, α = 90.00°, β = 90.00° and γ = 90.00°. The distinct sites, in fractional coordinates, are Tb at (0.167, 0.166, 0.250), Pm at (0.000, 0.000, 0.000), Pm at (0.166, 0.500, 0.000) and Ho at (0.000, 0.334, 0.750).

***

Of them, x has the highest stability.

***

w.
Compound: TbPmHoTl
Source: Alexandria via LeMat-Bulk
Functional: PBE
Structure: optimized geometry

The calculation puts the density of states at the Fermi level at 5.6 states/eV per cell.

It has space group Pmmm (No. 47), with a = 4.852 Å, b = 4.894 Å, c = 4.922 Å, α = 90.00°, β = 90.00° and γ = 90.00°. The distinct sites, in fractional coordinates, are Tb at (0.000, 0.000, 0.000), Pm at (0.500, 0.500, 0.000), Ho at (0.000, 0.500, 0.500) and Tl at (0.500, 0.000, 0.500).

***

x.
Compound: TbPmHoTl
Source: Alexandria via LeMat-Bulk
Functional: PBE
Structure: optimized geometry

The calculation puts the density of states at the Fermi level at 22.1 states/eV per cell.

It has space group F-43m (No. 216), with a = 7.775 Å, b = 7.775 Å, c = 7.775 Å, α = 90.00°, β = 90.00° and γ = 90.00°. The distinct sites, in fractional coordinates, are Tb at (0.000, 0.000, 0.000), Pm at (0.250, 0.250, 0.250), Ho at (0.000, 0.000, 0.500) and Tl at (0.250, 0.250, 0.750).

***

Of them, w has the highest stability.

***

w.
Compound: TbPmHoZn
Source: Alexandria via LeMat-Bulk
Functional: PBE
Structure: optimized geometry

The calculation puts the density of states at the Fermi level at 4.8 states/eV per cell.

It has space group P4mm (No. 99), with a = 3.584 Å, b = 3.584 Å, c = 8.683 Å, α = 90.00°, β = 90.00° and γ = 90.00°. The distinct sites, in fractional coordinates, are Tb at (0.000, 0.000, 0.000), Pm at (0.500, 0.500, 0.298), Ho at (0.000, 0.000, 0.593) and Zn at (0.500, 0.500, 0.793).

***

x.
Compound: TbPmHoZn
Source: Alexandria via LeMat-Bulk
Functional: PBE
Structure: optimized geometry

The calculation puts the density of states at the Fermi level at 20.3 states/eV per cell.

It has space group F-43m (No. 216), with a = 7.600 Å, b = 7.600 Å, c = 7.600 Å, α = 90.00°, β = 90.00° and γ = 90.00°. The distinct sites, in fractional coordinates, are Tb at (0.000, 0.000, 0.000), Pm at (0.000, 0.000, 0.500), Ho at (0.250, 0.250, 0.250) and Zn at (0.250, 0.250, 0.750).

***

Of them, w has the highest stability.

***

w.
Compound: Pm3HoTc
Source: Alexandria via LeMat-Bulk
Functional: PBE
Structure: optimized geometry

The calculation puts the density of states at the Fermi level at 19.5 states/eV per cell.

It has space group Cm (No. 8), with a = 12.274 Å, b = 3.961 Å, c = 13.162 Å, α = 90.00°, β = 112.60° and γ = 90.00°. The distinct sites, in fractional coordinates, are Pm at (0.000, 0.000, 0.000), Pm at (0.016, 0.000, 0.375), Pm at (0.164, 0.500, 0.247), Pm at (0.191, 0.500, 0.614), Pm at (0.226, 0.000, 0.858), Pm at (0.331, 0.000, 0.138), Ho at (0.352, 0.000, 0.482), Ho at (0.472, 0.000, 0.754), Tc at (0.022, 0.000, 0.610) and Tc at (0.161, 0.500, 0.994).

***

x.
Compound: Pm3HoTc
Source: Alexandria via LeMat-Bulk
Functional: PBE
Structure: optimized geometry

The calculation puts the density of states at the Fermi level at 7.4 states/eV per cell.

It has space group Pm-3m (No. 221), with a = 5.476 Å, b = 5.476 Å, c = 5.476 Å, α = 90.00°, β = 90.00° and γ = 90.00°. The distinct sites, in fractional coordinates, are Pm at (0.000, 0.000, 0.500), Ho at (0.500, 0.500, 0.500) and Tc at (0.000, 0.000, 0.000).

***

Of them, w has the highest stability.

***

w.
Compound: PmHo2Tc
Source: Alexandria via LeMat-Bulk
Functional: PBE
Structure: optimized geometry

The calculation puts the density of states at the Fermi level at 14.0 states/eV per cell.

It has space group Cmcm (No. 63), with a = 3.929 Å, b = 12.089 Å, c = 9.183 Å, α = 90.00°, β = 90.00° and γ = 90.00°. The distinct sites, in fractional coordinates, are Pm at (0.000, 0.071, 0.250), Ho at (0.000, 0.353, 0.068) and Tc at (0.000, 0.261, 0.750).

***

x.
Compound: PmHo2Tc
Source: Alexandria via LeMat-Bulk
Functional: PBE
Structure: optimized geometry

The calculation puts the density of states at the Fermi level at 6.9 states/eV per cell.

It has space group P4/mmm (No. 123), with a = 3.444 Å, b = 3.444 Å, c = 9.061 Å, α = 90.00°, β = 90.00° and γ = 90.00°. The distinct sites, in fractional coordinates, are Pm at (0.000, 0.000, 0.000), Ho at (0.500, 0.500, 0.319) and Tc at (0.000, 0.000, 0.500).

***

y.
Compound: PmHo2Tc
Source: Alexandria via LeMat-Bulk
Functional: PBE
Structure: optimized geometry

The calculation puts the density of states at the Fermi level at 11.0 states/eV per cell.

It has space group R-3m (No. 166, hexagonal axes), with a = 4.8252 Å, b = 4.8252 Å, c = 15.3116 Å, α = 90.00°, β = 90.00° and γ = 120.00°. The distinct sites, in fractional coordinates, are Pm at (0.0000, 0.0000, 0.0000), Ho at (0.0000, 0.0000, 0.2267) and Tc at (0.0000, 0.0000, 0.5000).

***

Of them, w has the highest stability.

***

w.
Compound: PmHoTc
Source: Alexandria via LeMat-Bulk
Functional: PBE
Structure: optimized geometry

The calculation puts the density of states at the Fermi level at 8.0 states/eV per cell.

It has space group I4mm (No. 107), with a = 3.492 Å, b = 3.492 Å, c = 12.709 Å, α = 90.00°, β = 90.00° and γ = 90.00°. The distinct sites, in fractional coordinates, are Pm at (0.000, 0.000, 0.000), Ho at (0.000, 0.000, 0.259) and Tc at (0.000, 0.000, 0.634).

***

x.
Compound: PmHoTc
Source: Alexandria via LeMat-Bulk
Functional: PBE
Structure: optimized geometry

The calculation puts the density of states at the Fermi level at 12.7 states/eV per cell.

It has space group Immm (No. 71), with a = 3.356 Å, b = 6.061 Å, c = 15.575 Å, α = 90.00°, β = 90.00° and γ = 90.00°. The distinct sites, in fractional coordinates, are Pm at (0.000, 0.000, 0.114), Ho at (0.000, 0.000, 0.329) and Tc at (0.000, 0.193, 0.500).

***

Of them, w has the highest stability.

***

w.
Compound: PmHoTe
Source: Alexandria via LeMat-Bulk
Functional: PBE
Structure: optimized geometry

The calculation puts the density of states at the Fermi level at 5.0 states/eV per cell.

It has space group I4mm (No. 107), with a = 3.910 Å, b = 3.910 Å, c = 11.706 Å, α = 90.00°, β = 90.00° and γ = 90.00°. The distinct sites, in fractional coordinates, are Pm at (0.000, 0.000, 0.000), Ho at (0.000, 0.000, 0.690) and Te at (0.000, 0.000, 0.334).

***

x.
Compound: PmHoTe
Source: Alexandria via LeMat-Bulk
Functional: PBE
Structure: optimized geometry

The calculation puts the density of states at the Fermi level at 3.3 states/eV per cell.

It has space group P3m1 (No. 156), with a = 5.1888 Å, b = 5.1888 Å, c = 4.0483 Å, α = 90.00°, β = 90.00° and γ = 120.00°. The distinct sites, in fractional coordinates, are Pm at (0.0000, 0.0000, 0.0000), Ho at (0.6667, 0.3333, 0.5111) and Te at (0.3333, 0.6667, 0.6840).

***

y.
Compound: PmHoTe
Source: Alexandria via LeMat-Bulk
Functional: PBE
Structure: optimized geometry

The calculation puts the density of states at the Fermi level at 19.6 states/eV per cell.

It has space group Cmce (No. 64), with a = 17.271 Å, b = 6.230 Å, c = 6.229 Å, α = 90.00°, β = 90.00° and γ = 90.00°. The distinct sites, in fractional coordinates, are Pm at (0.000, 0.249, 0.249), Ho at (0.180, 0.000, 0.000) and Te at (0.143, 0.000, 0.500).

***

z.
Compound: PmHoTe
Source: Alexandria via LeMat-Bulk
Functional: PBE
Structure: optimized geometry

The calculation puts the density of states at the Fermi level at 26.6 states/eV per cell.

It has space group C2/m (No. 12), with a = 16.746 Å, b = 4.030 Å, c = 11.168 Å, α = 90.00°, β = 93.03° and γ = 90.00°. The distinct sites, in fractional coordinates, are Pm at (0.024, 0.000, 0.352), Pm at (0.115, 0.500, 0.840), Ho at (0.192, 0.000, 0.080), Ho at (0.249, 0.500, 0.336), Te at (0.074, 0.500, 0.157) and Te at (0.119, 0.500, 0.542).

***

Of them, y has the highest stability.